No. 1
Material: Sr3GeRu
Method: DFT, PBE-GGA
State: relaxed

CIF file:
```
data_Sr3GeRu
_chemical_formula_sum 'Sr3 Ge1 Ru1'
_cell_length_a 5.467
_cell_length_b 5.467
_cell_length_c 5.467
_cell_angle_alpha 90.00
_cell_angle_beta 90.00
_cell_angle_gamma 90.00
_symmetry_space_group_name_H-M 'P m -3 m'
_symmetry_Int_Tables_number 221
_symmetry_space_group_name_Hall '-P 4 2 3'
loop_
_atom_site_label
_atom_site_fract_x
_atom_site_fract_y
_atom_site_fract_z
Sr1 0.000 0.000 0.500
Ge1 0.500 0.500 0.500
Ru1 0.000 0.000 0.000
```

Summary:
M_tot: 0.00 μB per atom
total energy: -3.455 eV/atom
ΔE to the lowest computed polymorph: 0 meV/atom
energy of formation from the pure elements: 332 meV per atom


No. 2
Material: Sr3Ge7Ru2
Method: DFT, PBE-GGA
State: relaxed

CIF file:
```
data_Sr3Ge7Ru2
_chemical_formula_sum 'Sr3 Ge7 Ru2'
_cell_length_a 5.074
_cell_length_b 4.414
_cell_length_c 12.487
_cell_angle_alpha 90.00
_cell_angle_beta 98.74
_cell_angle_gamma 90.00
_symmetry_space_group_name_H-M 'P 1 2/m 1'
_symmetry_Int_Tables_number 10
loop_
_symmetry_equiv_pos_as_xyz
'x,y,z'
'-x,-y,-z'
'-x,y,-z'
'x,-y,z'
loop_
_atom_site_label
_atom_site_fract_x
_atom_site_fract_y
_atom_site_fract_z
Sr1 0.000 0.000 0.000
Sr2 0.204 0.000 0.385
Ge1 0.057 0.500 0.790
Ge2 0.303 0.500 0.620
Ge3 0.376 0.000 0.774
Ge4 0.500 0.500 0.000
Ru1 0.407 0.500 0.175
```

Summary:
M_tot: 0.00 μB per atom
total energy: -5.002 eV/atom
energy of formation from the pure elements: -342 meV per atom


No. 3
Material: SrGeRu3
Method: DFT, PBE-GGA
State: relaxed

CIF file:
```
data_SrGeRu3
_chemical_formula_sum 'Sr1 Ge1 Ru3'
_cell_length_a 4.680
_cell_length_b 4.680
_cell_length_c 4.680
_cell_angle_alpha 90.00
_cell_angle_beta 90.00
_cell_angle_gamma 90.00
_symmetry_space_group_name_H-M 'P m -3 m'
_symmetry_Int_Tables_number 221
_symmetry_space_group_name_Hall '-P 4 2 3'
loop_
_atom_site_label
_atom_site_fract_x
_atom_site_fract_y
_atom_site_fract_z
Sr1 0.000 0.000 0.000
Ge1 0.500 0.500 0.500
Ru1 0.000 0.500 0.500
```

Summary:
M_tot: 0.32 μB per atom
total energy: -6.203 eV/atom
ΔE to the lowest computed polymorph: 0 meV/atom
energy of formation from the pure elements: 623 meV per atom


No. 4
Material: SrGe3Ru3
Method: DFT, PBE-GGA
State: relaxed

CIF file:
```
data_SrGe3Ru3
_chemical_formula_sum 'Sr6 Ge18 Ru18'
_cell_length_a 6.6998
_cell_length_b 6.6998
_cell_length_c 22.5640
_cell_angle_alpha 90.00
_cell_angle_beta 90.00
_cell_angle_gamma 120.00
_symmetry_space_group_name_H-M 'R -3'
_symmetry_Int_Tables_number 148
_symmetry_space_group_name_Hall '-R 3'
loop_
_atom_site_label
_atom_site_fract_x
_atom_site_fract_y
_atom_site_fract_z
Sr1 0.0000 0.0000 0.1693
Ge1 0.0393 0.4331 0.2654
Ru1 0.0239 0.2506 0.7072
```

Summary:
M_tot: 0.00 μB per atom
total energy: -6.339 eV/atom
energy of formation from the pure elements: -145 meV per atom